# PBE Y2SbOs, optimized geometry
data_Y2SbOs
_space_group_name_H-M_alt 'F -4 3 m'
_space_group_IT_number 216
_space_group_name_Hall 'F -4 2 3'
_cell_length_a 7.0220
_cell_length_b 7.0220
_cell_length_c 7.0220
_cell_angle_alpha 90.00
_cell_angle_beta 90.00
_cell_angle_gamma 90.00
loop_
_atom_site_label
_atom_site_fract_x
_atom_site_fract_y
_atom_site_fract_z
Y1 0.0000 0.0000 0.0000
Y2 0.2500 0.2500 0.2500
Sb1 0.0000 0.0000 0.5000
Os1 0.2500 0.2500 0.7500
# raw total energy	-7.152	eV per atom